{
  "formula": "GaHgS2",
  "functional": "PBE-GGA",
  "state": "relaxed",
  "cell": [[5.3752, -0.0074, 2.8076], [2.6852, 5.5664, 1.3937], [0.0970, -0.0115, 6.3345]],
  "species": ["Ga", "Ga", "Hg", "Hg", "S", "S", "S", "S"],
  "frac_coords": [[0.8957, 0.6768, 0.1837], [0.3957, 0.6766, 0.1840], [0.6452, 0.1766, 0.6839], [0.1451, 0.1766, 0.6840], [0.9894, 0.6769, 0.4976], [0.4893, 0.9903, 0.1843], [0.8021, 0.3630, 0.1836], [0.3022, 0.6763, 0.8702]],
  "space_group": "No. 15",
  "raw_formation_energy_ev_per_fu": -1.47,
  "crystal_system": "monoclinic",
  "magnetic_moment_mub_per_fu": 0.000,
  "vol_a3_per_atom": 23.5
}